Record 1
{"formula": "Pm2YMgTl4", "functional": "PBE", "state": "optimized geometry", "lattice": [[5.323, 0.000, 0.000], [2.662, 4.610, 0.000], [2.662, 1.537, 9.009]], "species": ["Pm", "Pm", "Y", "Mg", "Tl", "Tl", "Tl", "Tl"], "fractional_positions": [[0.758, 0.758, 0.726], [0.242, 0.242, 0.274], [0.000, 0.000, 0.000], [0.500, 0.500, 0.500], [0.374, 0.374, 0.878], [0.877, 0.877, 0.368], [0.123, 0.123, 0.632], [0.626, 0.626, 0.122]], "delta_e_f_ev_per_atom": -0.324, "crystal_system": "trigonal", "dos_ef_per_ev_fu": 4.2}


Record 2
{"formula": "KNa2LiHg", "functional": "PBE", "state": "optimized geometry", "lattice": [[-3.674, 4.284, 1.298], [-1.728, -2.907, 4.702], [3.776, 2.373, 2.855]], "species": ["Na", "Na", "K", "Hg", "Li"], "fractional_positions": [[0.000, 0.500, 0.000], [0.500, 0.000, 0.000], [0.500, 0.500, 0.500], [0.000, 0.000, 0.500], [0.000, 0.000, 0.000]], "delta_e_f_ev_per_atom": -0.019, "crystal_system": "tetragonal", "dos_ef_per_ev_fu": 2.5}


Record 3
{"formula": "Dy3Co2P3", "functional": "PBE", "state": "optimized geometry", "lattice": [[-2.408, -0.259, 3.127], [-1.729, -3.255, -4.102], [7.473, -10.163, 4.914]], "species": ["Dy", "Dy", "Dy", "Dy", "Dy", "Dy", "Co", "Co", "Co", "Co", "P", "P", "P", "P", "P", "P"], "fractional_positions": [[0.923, 0.845, 0.393], [0.077, 0.155, 0.893], [0.923, 0.845, 0.107], [0.077, 0.155, 0.607], [0.638, 0.276, 0.250], [0.362, 0.724, 0.750], [0.780, 0.559, 0.902], [0.220, 0.441, 0.402], [0.780, 0.559, 0.598], [0.220, 0.441, 0.098], [0.641, 0.281, 0.454], [0.359, 0.719, 0.954], [0.641, 0.281, 0.046], [0.359, 0.719, 0.546], [0.339, 0.677, 0.250], [0.661, 0.323, 0.750]], "delta_e_f_ev_per_atom": -1.084, "crystal_system": "orthorhombic", "dos_ef_per_ev_fu": 6.2}


Record 4
{"formula": "KC3", "functional": "PBE", "state": "optimized geometry", "lattice": [[-0.012, -5.487, 1.089], [2.676, 3.525, 3.421], [-6.635, 0.868, 4.295]], "species": ["K", "K", "K", "K", "C", "C", "C", "C", "C", "C", "C", "C", "C", "C", "C", "C"], "fractional_positions": [[0.000, 0.000, 0.000], [0.000, 0.000, 0.500], [0.333, 0.667, 0.250], [0.667, 0.333, 0.750], [0.500, 0.000, 0.000], [0.500, 0.000, 0.500], [0.000, 0.500, 0.000], [0.500, 0.500, 0.000], [0.500, 0.500, 0.500], [0.000, 0.500, 0.500], [0.755, 0.509, 0.250], [0.245, 0.491, 0.750], [0.491, 0.245, 0.250], [0.755, 0.245, 0.250], [0.245, 0.755, 0.750], [0.509, 0.755, 0.750]], "delta_e_f_ev_per_atom": 2.845, "crystal_system": "hexagonal", "dos_ef_per_ev_fu": 2.5}


Record 5
{"formula": "La3NF", "functional": "PBE", "state": "optimized geometry", "lattice": [[6.993, 0.000, 0.000], [0.000, 6.023, 1.541], [-3.496, -0.901, 6.598]], "species": ["La", "La", "La", "La", "La", "La", "N", "N", "F", "F"], "fractional_positions": [[0.927, 0.797, 0.351], [0.077, 0.304, 0.154], [0.424, 0.797, 0.351], [0.576, 0.203, 0.649], [0.073, 0.203, 0.649], [0.923, 0.696, 0.846], [0.767, 0.981, 0.533], [0.233, 0.019, 0.467], [0.243, 0.507, 0.486], [0.757, 0.493, 0.514]], "raw_formation_energy_kj_per_mol_atoms": -124, "crystal_system": "monoclinic", "dos_ef_per_ev_fu": 4.9}


Record 6
{"formula": "K2HgAuO", "functional": "PBE", "state": "optimized geometry", "lattice": [[-2.377, 0.819, -3.611], [-1.618, -7.498, -0.636], [-6.298, 4.479, 5.160]], "species": ["K", "K", "K", "K", "Hg", "Hg", "Au", "Au", "O", "O"], "fractional_positions": [[0.750, 0.787, 0.642], [0.750, 0.821, 0.030], [0.250, 0.213, 0.358], [0.250, 0.179, 0.970], [0.250, 0.725, 0.308], [0.750, 0.275, 0.692], [0.250, 0.518, 0.756], [0.750, 0.482, 0.244], [0.250, 0.809, 0.833], [0.750, 0.191, 0.167]], "raw_formation_energy_kj_per_mol_atoms": -58, "crystal_system": "monoclinic", "dos_ef_per_ev_fu": 2.4}